1.
# BaMgFeTe (GGA-PBE, optimized geometry)
# DFT total energy ... -3.461 eV per atom
data_BaMgFeTe
_chemical_formula_sum 'Ba4 Mg4 Fe4 Te4'
_symmetry_space_group_name_H-M 'F -4 3 m'
_symmetry_Int_Tables_number 216
_symmetry_space_group_name_Hall 'F -4 2 3'
_cell_length_a 7.456
_cell_length_b 7.456
_cell_length_c 7.456
_cell_angle_alpha 90.00
_cell_angle_beta 90.00
_cell_angle_gamma 90.00
loop_
_atom_site_label
_atom_site_type_symbol
_atom_site_fract_x
_atom_site_fract_y
_atom_site_fract_z
Ba1 Ba 0.000 0.000 0.000
Mg1 Mg 0.250 0.250 0.250
Fe1 Fe 0.250 0.250 0.750
Te1 Te 0.000 0.000 0.500



2.
# ScCoHgGe (GGA-PBE, optimized geometry)
# DFT total energy ... -4.711 eV per atom
data_ScCoHgGe
_chemical_formula_sum 'Sc4 Co4 Hg4 Ge4'
_symmetry_space_group_name_H-M 'F -4 3 m'
_symmetry_Int_Tables_number 216
_symmetry_space_group_name_Hall 'F -4 2 3'
_cell_length_a 6.458
_cell_length_b 6.458
_cell_length_c 6.458
_cell_angle_alpha 90.00
_cell_angle_beta 90.00
_cell_angle_gamma 90.00
loop_
_atom_site_label
_atom_site_type_symbol
_atom_site_fract_x
_atom_site_fract_y
_atom_site_fract_z
Sc1 Sc 0.000 0.000 0.000
Co1 Co 0.000 0.000 0.500
Hg1 Hg 0.250 0.250 0.750
Ge1 Ge 0.250 0.250 0.250



DFT total energy of number 1 (BaMgFeTe)?
-3.461 eV per atom